## a
! Ag2AuSe2 | Alexandria via LeMat-Bulk | GGA-PBE | relaxed; values from VASP
! Size of the total moment, Bohr magnetons per cell: 0.00
! Crystal system: tetragonal
! N(E_F), states/eV per cell: 8.51
&SYSTEM
  ibrav = 0, nat = 10, ntyp = 3
/
ATOMIC_SPECIES
Ag 107.87 Ag.upf
Au 196.97 Au.upf
Se 78.96 Se.upf
CELL_PARAMETERS angstrom
3.906 0.000 0.000
0.000 3.906 0.000
0.000 0.000 14.168
ATOMIC_POSITIONS crystal
Ag 0.000 0.500 0.250
Ag 0.000 0.500 0.750
Ag 0.500 0.000 0.250
Ag 0.500 0.000 0.750
Au 0.000 0.000 0.000
Au 0.500 0.500 0.500
Se 0.000 0.000 0.389
Se 0.000 0.000 0.611
Se 0.500 0.500 0.111
Se 0.500 0.500 0.889


## b
! Ag2AuSe2 | Alexandria via LeMat-Bulk | GGA-PBE | relaxed; values from VASP
! Size of the total moment, Bohr magnetons per cell: 0.00
! Crystal system: tetragonal
! N(E_F), states/eV per cell: 7.44
&SYSTEM
  ibrav = 0, nat = 10, ntyp = 3
/
ATOMIC_SPECIES
Ag 107.87 Ag.upf
Au 196.97 Au.upf
Se 78.96 Se.upf
CELL_PARAMETERS angstrom
7.429 0.000 0.000
0.000 7.429 0.000
0.000 0.000 3.663
ATOMIC_POSITIONS crystal
Ag 0.139 0.361 0.000
Ag 0.361 0.861 0.000
Ag 0.639 0.139 0.000
Ag 0.861 0.639 0.000
Au 0.000 0.000 0.000
Au 0.500 0.500 0.000
Se 0.168 0.668 0.500
Se 0.332 0.168 0.500
Se 0.668 0.832 0.500
Se 0.832 0.332 0.500


## c
! Ag2AuSe2 | Alexandria via LeMat-Bulk | GGA-PBE | relaxed; values from VASP
! Size of the total moment, Bohr magnetons per cell: 0.00
! Crystal system: tetragonal
! N(E_F), states/eV per cell: 4.11
&SYSTEM
  ibrav = 0, nat = 10, ntyp = 3
/
ATOMIC_SPECIES
Ag 107.87 Ag.upf
Au 196.97 Au.upf
Se 78.96 Se.upf
CELL_PARAMETERS angstrom
7.277 0.000 0.000
0.000 7.277 0.000
0.000 0.000 4.006
ATOMIC_POSITIONS crystal
Ag 0.138 0.362 0.000
Ag 0.362 0.862 0.000
Ag 0.638 0.138 0.000
Ag 0.862 0.638 0.000
Au 0.000 0.000 0.500
Au 0.500 0.500 0.500
Se 0.174 0.674 0.500
Se 0.326 0.174 0.500
Se 0.674 0.826 0.500
Se 0.826 0.326 0.500


## d
! Ag2AuSe2 | Alexandria via LeMat-Bulk | GGA-PBE | relaxed; values from VASP
! Size of the total moment, Bohr magnetons per cell: 0.00
! Crystal system: monoclinic
! N(E_F), states/eV per cell: 2.39
&SYSTEM
  ibrav = 0, nat = 10, ntyp = 3
/
ATOMIC_SPECIES
Ag 107.87 Ag.upf
Au 196.97 Au.upf
Se 78.96 Se.upf
CELL_PARAMETERS angstrom
4.242 -4.524 0.000
4.242 4.524 0.000
-3.355 0.000 6.833
ATOMIC_POSITIONS crystal
Ag 0.000 0.000 0.000
Ag 0.000 0.000 0.500
Ag 0.000 0.500 0.000
Ag 0.500 0.000 0.500
Au 0.491 0.509 0.750
Au 0.509 0.491 0.250
Se 0.251 0.273 0.385
Se 0.273 0.251 0.885
Se 0.727 0.749 0.115
Se 0.749 0.727 0.615


d has the most favorable energy; the next structure is 0.055 eV/atom above.


## a
! Ag3AuSe | Alexandria via LeMat-Bulk | GGA-PBE | relaxed; values from VASP
! Size of the total moment, Bohr magnetons per cell: 0.00
! Crystal system: cubic
! N(E_F), states/eV per cell: 0.05
&SYSTEM
  ibrav = 0, nat = 5, ntyp = 3
/
ATOMIC_SPECIES
Ag 107.87 Ag.upf
Au 196.97 Au.upf
Se 78.96 Se.upf
CELL_PARAMETERS angstrom
5.137 0.000 0.000
0.000 5.137 0.000
0.000 0.000 5.137
ATOMIC_POSITIONS crystal
Ag 0.000 0.000 0.500
Ag 0.000 0.500 0.000
Ag 0.500 0.000 0.000
Au 0.000 0.000 0.000
Se 0.500 0.500 0.500


## b
! Ag3AuSe | Alexandria via LeMat-Bulk | GGA-PBE | relaxed; values from VASP
! Size of the total moment, Bohr magnetons per cell: 0.00
! Crystal system: cubic
! N(E_F), states/eV per cell: 0.00
&SYSTEM
  ibrav = 0, nat = 5, ntyp = 3
/
ATOMIC_SPECIES
Ag 107.87 Ag.upf
Au 196.97 Au.upf
Se 78.96 Se.upf
CELL_PARAMETERS angstrom
5.017 0.000 0.000
0.000 5.017 0.000
0.000 0.000 5.017
ATOMIC_POSITIONS crystal
Ag 0.000 0.000 0.500
Ag 0.000 0.500 0.000
Ag 0.500 0.000 0.000
Au 0.500 0.500 0.500
Se 0.000 0.000 0.000


b has the most favorable energy; the next structure is 0.265 eV/atom above.


## a
! VAgAu2Se | Alexandria via LeMat-Bulk | GGA-PBE | relaxed; values from VASP
! Size of the total moment, Bohr magnetons per cell: 2.90
! Crystal system: tetragonal
! N(E_F), states/eV per cell: 5.98
&SYSTEM
  ibrav = 0, nat = 5, ntyp = 4
/
ATOMIC_SPECIES
V 50.94 V.upf
Ag 107.87 Ag.upf
Au 196.97 Au.upf
Se 78.96 Se.upf
CELL_PARAMETERS angstrom
4.890 0.000 0.000
0.000 4.890 0.000
0.000 0.000 5.120
ATOMIC_POSITIONS crystal
V 0.000 0.000 0.000
Ag 0.000 0.000 0.500
Au 0.000 0.500 0.000
Au 0.500 0.000 0.000
Se 0.500 0.500 0.500


## b
! VAgAu2Se | Alexandria via LeMat-Bulk | GGA-PBE | relaxed; values from VASP
! Size of the total moment, Bohr magnetons per cell: 0.06
! Crystal system: tetragonal
! N(E_F), states/eV per cell: 7.06
&SYSTEM
  ibrav = 0, nat = 5, ntyp = 4
/
ATOMIC_SPECIES
V 50.94 V.upf
Ag 107.87 Ag.upf
Au 196.97 Au.upf
Se 78.96 Se.upf
CELL_PARAMETERS angstrom
5.062 0.000 0.000
0.000 5.062 0.000
0.000 0.000 4.910
ATOMIC_POSITIONS crystal
V 0.000 0.000 0.000
Ag 0.500 0.500 0.500
Au 0.000 0.500 0.500
Au 0.500 0.000 0.500
Se 0.500 0.500 0.000


a has the most favorable energy; the next structure is 0.126 eV/atom above.


## a
! Si2AgAu | Alexandria via LeMat-Bulk | GGA-PBE | relaxed; values from VASP
! Size of the total moment, Bohr magnetons per cell: 0.00
! Crystal system: tetragonal
! N(E_F), states/eV per cell: 1.67
&SYSTEM
  ibrav = 0, nat = 4, ntyp = 3
/
ATOMIC_SPECIES
Si 28.09 Si.upf
Ag 107.87 Ag.upf
Au 196.97 Au.upf
CELL_PARAMETERS angstrom
4.158 0.000 0.000
0.000 4.158 0.000
0.000 0.000 3.933
ATOMIC_POSITIONS crystal
Si 0.000 0.500 0.000
Si 0.500 0.000 0.000
Ag 0.000 0.000 0.500
Au 0.500 0.500 0.500


## b
! Si2AgAu | Alexandria via LeMat-Bulk | GGA-PBE | relaxed; values from VASP
! Size of the total moment, Bohr magnetons per cell: 0.00
! Crystal system: tetragonal
! N(E_F), states/eV per cell: 2.58
&SYSTEM
  ibrav = 0, nat = 8, ntyp = 3
/
ATOMIC_SPECIES
Si 28.09 Si.upf
Ag 107.87 Ag.upf
Au 196.97 Au.upf
CELL_PARAMETERS angstrom
4.129 0.000 0.000
0.000 4.129 0.000
0.000 0.000 7.985
ATOMIC_POSITIONS crystal
Si 0.000 0.500 0.250
Si 0.000 0.500 0.750
Si 0.500 0.000 0.250
Si 0.500 0.000 0.750
Ag 0.000 0.000 0.000
Ag 0.500 0.500 0.500
Au 0.000 0.000 0.500
Au 0.500 0.500 0.000


## c
! Si2AgAu | Alexandria via LeMat-Bulk | GGA-PBE | relaxed; values from VASP
! Size of the total moment, Bohr magnetons per cell: 0.00
! Crystal system: orthorhombic
! N(E_F), states/eV per cell: 2.05
&SYSTEM
  ibrav = 0, nat = 4, ntyp = 3
/
ATOMIC_SPECIES
Si 28.09 Si.upf
Ag 107.87 Ag.upf
Au 196.97 Au.upf
CELL_PARAMETERS angstrom
2.775 0.000 0.000
0.000 4.596 0.000
0.000 0.000 5.336
ATOMIC_POSITIONS crystal
Si 0.000 0.000 0.242
Si 0.000 0.000 0.758
Ag 0.500 0.500 0.000
Au 0.000 0.500 0.500


c has the most favorable energy; the next structure is 0.080 eV/atom above.


## a
! Si2AgAu | Alexandria via LeMat-Bulk | GGA-PBE | relaxed; values from VASP
! Size of the total moment, Bohr magnetons per cell: 0.00
! Crystal system: cubic
! N(E_F), states/eV per cell: 4.62
&SYSTEM
  ibrav = 0, nat = 16, ntyp = 3
/
ATOMIC_SPECIES
Si 28.09 Si.upf
Ag 107.87 Ag.upf
Au 196.97 Au.upf
CELL_PARAMETERS angstrom
6.519 0.000 0.000
0.000 6.519 0.000
0.000 0.000 6.519
ATOMIC_POSITIONS crystal
Si 0.250 0.250 0.250
Si 0.250 0.250 0.750
Si 0.250 0.750 0.250
Si 0.250 0.750 0.750
Si 0.750 0.250 0.250
Si 0.750 0.250 0.750
Si 0.750 0.750 0.250
Si 0.750 0.750 0.750
Ag 0.000 0.000 0.000
Ag 0.000 0.500 0.500
Ag 0.500 0.000 0.500
Ag 0.500 0.500 0.000
Au 0.000 0.000 0.500
Au 0.000 0.500 0.000
Au 0.500 0.000 0.000
Au 0.500 0.500 0.500


## b
! Si2AgAu | Alexandria via LeMat-Bulk | GGA-PBE | relaxed; values from VASP
! Size of the total moment, Bohr magnetons per cell: 0.00
! Crystal system: trigonal
! N(E_F), states/eV per cell: 4.70
&SYSTEM
  ibrav = 0, nat = 12, ntyp = 3
/
ATOMIC_SPECIES
Si 28.09 Si.upf
Ag 107.87 Ag.upf
Au 196.97 Au.upf
CELL_PARAMETERS angstrom
3.181 0.000 0.000
-1.591 2.755 0.000
0.000 0.000 23.534
ATOMIC_POSITIONS crystal
Si 0.000 0.000 0.247
Si 0.000 0.000 0.753
Si 0.333 0.667 0.420
Si 0.333 0.667 0.914
Si 0.667 0.333 0.086
Si 0.667 0.333 0.580
Ag 0.000 0.000 0.000
Ag 0.333 0.667 0.667
Ag 0.667 0.333 0.333
Au 0.000 0.000 0.500
Au 0.333 0.667 0.167
Au 0.667 0.333 0.833


## c
! Si2AgAu | Alexandria via LeMat-Bulk | GGA-PBE | relaxed; values from VASP
! Size of the total moment, Bohr magnetons per cell: 0.00
! Crystal system: orthorhombic
! N(E_F), states/eV per cell: 2.79
&SYSTEM
  ibrav = 0, nat = 8, ntyp = 3
/
ATOMIC_SPECIES
Si 28.09 Si.upf
Ag 107.87 Ag.upf
Au 196.97 Au.upf
CELL_PARAMETERS angstrom
2.729 0.000 0.000
0.000 5.114 0.000
0.000 0.000 9.901
ATOMIC_POSITIONS crystal
Si 0.000 0.000 0.238
Si 0.000 0.000 0.762
Si 0.500 0.500 0.262
Si 0.500 0.500 0.738
Ag 0.000 0.500 0.000
Ag 0.500 0.000 0.500
Au 0.000 0.500 0.500
Au 0.500 0.000 0.000


b has the most favorable energy; the next structure is 0.067 eV/atom above.